Record 1
An optimized crystal structure of LaNbAg2H. Source: the Alexandria database, functional PBE.

Cell and atoms, written as POSCAR:
```
LaNbAg2H
1.0
5.254 0.000 0.000
0.000 5.318 0.000
0.000 0.000 5.254
Ag La Nb H
2 1 1 1
direct
0.500 0.000 0.000
0.000 0.000 0.500
0.000 0.500 0.000
0.000 0.000 0.000
0.500 0.500 0.500
```

## Properties
E (eV/atom): -3.58



Record 2
An optimized crystal structure of KLi3B. Source: the Alexandria database, functional PBE.

Cell and atoms, written as POSCAR:
```
KLi3B
1.0
-4.951 -1.641 -0.371
1.650 -4.962 -0.069
-0.331 -0.182 5.216
K Li B
1 3 1
direct
0.000 0.000 0.000
0.000 0.500 0.000
0.000 0.000 0.500
0.500 0.000 0.000
0.500 0.500 0.500
```

## Properties
E (eV/atom): -1.10
Energy of formation from the pure elements (meV/atom): 1605